Arrangement a

A plane-wave DFT calculation with PBE was carried out for YRh2W after structural relaxation.

Computed properties:
Density of states at the Fermi level = 2.22 states/eV/f.u.
V = 17.353 A^3/atom

```
YRh2W
1.0
3.003 0.000 0.000
0.000 3.003 0.000
0.000 0.000 7.698
Y Rh W
1 2 1
Cartesian
0.000 0.000 0.000 Y
1.501 1.501 2.168 Rh
1.501 1.501 5.530 Rh
0.000 0.000 3.849 W
```

=====

Arrangement b

A plane-wave DFT calculation with PBE was carried out for YRh2W after structural relaxation.

Computed properties:
Density of states at the Fermi level = 6.00 states/eV/f.u.
V = 17.058 A^3/atom

```
YRh2W
1.0
0.000 3.243 3.243
3.243 0.000 3.243
3.243 3.243 0.000
Y Rh W
1 2 1
Cartesian
0.000 0.000 0.000 Y
1.622 1.622 1.622 Rh
3.243 3.243 3.243 Rh
4.865 4.865 4.865 W
```

=====

Arrangement c

A plane-wave DFT calculation with PBE was carried out for YRh2W after structural relaxation.

Computed properties:
Density of states at the Fermi level = 3.87 states/eV/f.u.
V = 17.410 A^3/atom

```
YRh2W
1.0
4.902 -1.473 0.000
4.902 1.473 0.000
-0.904 0.000 4.821
Y Rh W
1 2 1
Cartesian
0.000 0.000 0.000 Y
4.339 0.000 2.422 Rh
7.227 0.000 0.871 Rh
1.601 0.000 3.077 W
```

=====

Relative energies, in meV/atom, with the most stable structure set to zero: arrangement a 0; arrangement b 422; arrangement c 162.

=====

Arrangement a

A plane-wave DFT calculation with PBE was carried out for YRh2W2 after structural relaxation.

Computed properties:
Density of states at the Fermi level = 5.80 states/eV/f.u.
V = 17.395 A^3/atom

```
YRh2W2
1.0
7.851 0.000 0.000
0.000 7.851 0.000
0.000 0.000 2.822
Y Rh W
2 4 4
Cartesian
0.000 0.000 0.000 Y
3.925 3.925 0.000 Y
0.992 2.933 0.000 Rh
2.933 6.859 0.000 Rh
4.918 0.992 0.000 Rh
6.859 4.918 0.000 Rh
1.305 5.230 1.411 W
2.620 1.305 1.411 W
5.230 6.546 1.411 W
6.546 2.620 1.411 W
```

=====

Arrangement b

A plane-wave DFT calculation with PBE was carried out for YRh2W2 after structural relaxation.

Computed properties:
Density of states at the Fermi level = 5.58 states/eV/f.u.
V = 18.654 A^3/atom

```
YRh2W2
1.0
-1.943 1.943 6.179
1.943 -1.943 6.179
1.943 1.943 -6.179
Y Rh W
1 2 2
Cartesian
0.000 0.000 0.000 Y
0.000 0.000 4.897 Rh
0.000 0.000 7.461 Rh
1.943 0.000 3.089 W
0.000 1.943 3.089 W
```

=====

Relative energies, in meV/atom, with the most stable structure set to zero: arrangement a 85; arrangement b 0.

=====

Arrangement a

A plane-wave DFT calculation with PBE was carried out for YRhW after structural relaxation.

Computed properties:
Density of states at the Fermi level = 2.63 states/eV/f.u.
V = 19.488 A^3/atom

```
YRhW
1.0
3.252 0.000 0.000
0.000 4.430 0.000
0.000 0.000 8.118
Y Rh W
2 2 2
Cartesian
0.813 1.107 1.237 Y
2.439 3.322 6.881 Y
0.813 1.107 6.181 Rh
2.439 3.322 1.937 Rh
0.813 3.322 3.996 W
2.439 1.107 4.122 W
```

=====

Arrangement b

A plane-wave DFT calculation with PBE was carried out for YRhW after structural relaxation.

Computed properties:
Density of states at the Fermi level = 2.78 states/eV/f.u.
V = 20.251 A^3/atom

```
YRhW
1.0
5.198 -2.204 0.000
5.198 2.204 0.000
-5.091 0.000 5.304
Y Rh W
2 2 2
Cartesian
0.000 0.000 0.000 Y
-1.924 0.000 3.300 Y
5.409 0.000 2.100 Rh
7.420 0.000 0.095 Rh
1.177 0.000 3.005 W
2.946 0.000 1.252 W
```

=====

Arrangement c

A plane-wave DFT calculation with PBE was carried out for YRhW after structural relaxation.

Computed properties:
Density of states at the Fermi level = 3.21 states/eV/f.u.
V = 20.532 A^3/atom

```
YRhW
1.0
5.277 -2.134 0.000
5.277 2.134 0.000
-0.038 0.000 5.471
Y Rh W
2 2 2
Cartesian
0.000 0.000 0.000 Y
6.001 0.000 2.741 Y
2.820 0.000 4.162 Rh
9.009 0.000 2.623 Rh
2.968 0.000 1.504 W
7.616 0.000 5.462 W
```

=====

Relative energies, in meV/atom, with the most stable structure set to zero: arrangement a 0; arrangement b 131; arrangement c 171.

=====

Arrangement a

A plane-wave DFT calculation with PBE was carried out for YRhW after structural relaxation.

Computed properties:
Density of states at the Fermi level = 3.13 states/eV/f.u.
V = 20.336 A^3/atom

```
YRhW
1.0
5.305 0.000 0.000
0.000 4.290 0.000
-1.402 0.000 5.362
Y Rh W
2 2 2
Cartesian
-0.023 1.072 1.320 Y
3.926 3.217 4.041 Y
1.238 3.217 3.118 Rh
2.665 1.072 2.244 Rh
1.204 1.072 4.610 W
2.699 3.217 0.751 W
```

=====

Arrangement b

A plane-wave DFT calculation with PBE was carried out for YRhW after structural relaxation.

Computed properties:
Density of states at the Fermi level = 2.38 states/eV/f.u.
V = 19.387 A^3/atom

```
YRhW
1.0
-1.560 1.560 5.976
1.560 -1.560 5.976
1.560 1.560 -5.976
Y Rh W
1 1 1
Cartesian
0.000 0.000 0.000 Y
0.000 0.000 8.303 Rh
0.000 0.000 3.714 W
```

=====

Arrangement c

A plane-wave DFT calculation with PBE was carried out for YRhW after structural relaxation.

Computed properties:
Density of states at the Fermi level = 3.31 states/eV/f.u.
V = 20.157 A^3/atom

```
YRhW
1.0
-2.242 3.875 3.480
2.242 -3.875 3.480
2.242 3.875 -3.480
Y Rh W
2 2 2
Cartesian
1.121 1.427 0.000 Y
1.121 2.448 3.480 Y
1.121 -0.807 4.795 Rh
1.121 4.682 1.315 Rh
1.121 -0.689 2.300 W
1.121 4.563 -1.180 W
```

=====

Relative energies, in meV/atom, with the most stable structure set to zero: arrangement a 19; arrangement b 124; arrangement c 0.

=====

Arrangement a

A plane-wave DFT calculation with PBE was carried out for Y2Rh2W after structural relaxation.

Computed properties:
Density of states at the Fermi level = 5.75 states/eV/f.u.
V = 25.503 A^3/atom

```
Y2Rh2W
1.0
5.196 0.000 0.000
0.000 5.196 0.000
0.000 0.000 4.722
Y Rh W
2 2 1
Cartesian
0.000 2.598 0.000 Y
2.598 0.000 0.000 Y
0.000 0.000 0.000 Rh
0.000 0.000 2.361 Rh
2.598 2.598 2.361 W
```

=====

Arrangement b

A plane-wave DFT calculation with PBE was carried out for Y2Rh2W after structural relaxation.

Computed properties:
Density of states at the Fermi level = 5.03 states/eV/f.u.
V = 20.623 A^3/atom

```
Y2Rh2W
1.0
6.711 0.000 0.000
0.000 6.711 0.000
0.000 0.000 4.579
Y Rh W
4 4 2
Cartesian
1.180 2.175 0.000 Y
2.175 5.531 0.000 Y
4.536 1.180 0.000 Y
5.531 4.536 0.000 Y
0.958 4.314 2.289 Rh
2.397 0.958 2.289 Rh
4.314 5.753 2.289 Rh
5.753 2.397 2.289 Rh
0.000 0.000 2.289 W
3.356 3.356 2.289 W
```

=====

Relative energies, in meV/atom, with the most stable structure set to zero: arrangement a 1235; arrangement b 0.

=====

Arrangement a

A plane-wave DFT calculation with PBE was carried out for Y3RhW after structural relaxation.

Computed properties:
Density of states at the Fermi level = 6.92 states/eV/f.u.
V = 28.189 A^3/atom

```
Y3RhW
1.0
5.204 0.000 0.000
0.000 5.204 0.000
0.000 0.000 5.204
Y Rh W
3 1 1
Cartesian
0.000 0.000 2.602 Y
0.000 2.602 0.000 Y
2.602 0.000 0.000 Y
0.000 0.000 0.000 Rh
2.602 2.602 2.602 W
```

=====

Arrangement b

A plane-wave DFT calculation with PBE was carried out for Y3RhW after structural relaxation.

Computed properties:
Density of states at the Fermi level = 3.79 states/eV/f.u.
V = 29.400 A^3/atom

```
Y3RhW
1.0
5.278 0.000 0.000
0.000 5.278 0.000
0.000 0.000 5.278
Y Rh W
3 1 1
Cartesian
0.000 0.000 2.639 Y
0.000 2.639 0.000 Y
2.639 0.000 0.000 Y
2.639 2.639 2.639 Rh
0.000 0.000 0.000 W
```

=====

Relative energies, in meV/atom, with the most stable structure set to zero: arrangement a 0; arrangement b 190.

=====

Arrangement a

A plane-wave DFT calculation with PBE was carried out for ZrRhW2 after structural relaxation.

Computed properties:
Density of states at the Fermi level = 3.80 states/eV/f.u.
V = 16.955 A^3/atom

```
ZrRhW2
1.0
2.820 0.000 0.000
0.000 4.478 0.000
-0.976 0.000 5.370
Zr Rh W
1 1 2
Cartesian
0.000 0.000 0.000 Zr
1.811 2.239 1.293 Rh
0.020 2.239 3.876 W
0.854 0.000 2.734 W
```

=====

Arrangement b

A plane-wave DFT calculation with PBE was carried out for ZrRhW2 after structural relaxation.

Computed properties:
Density of states at the Fermi level = 2.88 states/eV/f.u.
V = 16.982 A^3/atom

```
ZrRhW2
1.0
1.937 -2.009 0.000
1.937 2.009 0.000
0.000 0.000 8.729
Zr Rh W
1 1 2
Cartesian
0.000 0.000 0.000 Zr
0.000 0.000 4.365 Rh
1.937 0.000 2.417 W
1.937 0.000 6.313 W
```

=====

Arrangement c

A plane-wave DFT calculation with PBE was carried out for ZrRhW2 after structural relaxation.

Computed properties:
Density of states at the Fermi level = 3.89 states/eV/f.u.
V = 16.863 A^3/atom

```
ZrRhW2
1.0
1.651 -2.278 0.000
1.651 2.278 0.000
0.000 0.000 8.966
Zr Rh W
1 1 2
Cartesian
0.000 0.000 0.000 Zr
1.651 0.000 2.292 Rh
0.000 0.000 4.366 W
1.651 0.000 6.534 W
```

=====

Arrangement d

A plane-wave DFT calculation with PBE was carried out for ZrRhW2 after structural relaxation.

Computed properties:
Density of states at the Fermi level = 4.89 states/eV/f.u.
V = 16.746 A^3/atom

```
ZrRhW2
1.0
0.000 3.223 3.223
3.223 0.000 3.223
3.223 3.223 0.000
Zr Rh W
1 1 2
Cartesian
0.000 0.000 0.000 Zr
3.223 3.223 3.223 Rh
1.612 1.612 1.612 W
4.835 4.835 4.835 W
```

=====

Relative energies, in meV/atom, with the most stable structure set to zero: arrangement a 17; arrangement b 101; arrangement c 0; arrangement d 291.

=====

Arrangement a

A plane-wave DFT calculation with PBE was carried out for ZrRhW2 after structural relaxation.

Computed properties:
Density of states at the Fermi level = 3.60 states/eV/f.u.
V = 17.054 A^3/atom

```
ZrRhW2
1.0
3.250 0.000 0.000
0.000 3.250 0.000
0.000 0.000 6.457
Zr Rh W
1 1 2
Cartesian
0.000 0.000 0.000 Zr
1.625 1.625 1.614 Rh
0.000 0.000 3.266 W
1.625 1.625 4.691 W
```

=====

Arrangement b

A plane-wave DFT calculation with PBE was carried out for ZrRhW2 after structural relaxation.

Computed properties:
Density of states at the Fermi level = 3.51 states/eV/f.u.
V = 17.079 A^3/atom

```
ZrRhW2
1.0
1.418 0.819 9.803
-1.418 0.819 9.803
0.000 -1.638 9.803
Zr Rh W
1 1 2
Cartesian
0.000 0.000 0.000 Zr
0.000 0.000 14.705 Rh
0.000 0.000 7.117 W
0.000 0.000 22.293 W
```

=====

Arrangement c

A plane-wave DFT calculation with PBE was carried out for ZrRhW2 after structural relaxation.

Computed properties:
Density of states at the Fermi level = 2.98 states/eV/f.u.
V = 17.180 A^3/atom

```
ZrRhW2
1.0
4.765 -1.408 0.000
4.765 1.408 0.000
-0.864 0.000 5.119
Zr Rh W
1 1 2
Cartesian
0.000 0.000 0.000 Zr
6.981 0.000 0.923 Rh
1.515 0.000 3.455 W
3.973 0.000 2.504 W
```

=====

Arrangement d

A plane-wave DFT calculation with PBE was carried out for ZrRhW2 after structural relaxation.

Computed properties:
Density of states at the Fermi level = 3.39 states/eV/f.u.
V = 16.869 A^3/atom

```
ZrRhW2
1.0
0.000 3.231 3.231
3.231 0.000 3.231
3.231 3.231 0.000
Zr Rh W
1 1 2
Cartesian
0.000 0.000 0.000 Zr
1.616 1.616 1.616 Rh
3.231 3.231 3.231 W
4.847 4.847 4.847 W
```

=====

Relative energies, in meV/atom, with the most stable structure set to zero: arrangement a 0; arrangement b 354; arrangement c 216; arrangement d 46.

=====

Arrangement a

A plane-wave DFT calculation with PBE was carried out for ZrRhW2 after structural relaxation.

Computed properties:
Density of states at the Fermi level = 5.23 states/eV/f.u.
V = 16.888 A^3/atom

```
ZrRhW2
1.0
4.417 0.000 0.000
0.000 4.417 0.000
0.000 0.000 3.463
Zr Rh W
1 1 2
Cartesian
0.000 0.000 0.000 Zr
2.208 2.208 0.000 Rh
0.000 2.208 1.731 W
2.208 0.000 1.731 W
```

=====

Arrangement b

A plane-wave DFT calculation with PBE was carried out for ZrRhW2 after structural relaxation.

Computed properties:
Density of states at the Fermi level = 2.57 states/eV/f.u.
V = 17.126 A^3/atom

```
ZrRhW2
1.0
5.092 -1.481 0.000
5.092 1.481 0.000
-1.254 0.000 4.541
Zr Rh W
1 1 2
Cartesian
0.000 0.000 0.000 Zr
4.465 0.000 2.270 Rh
1.500 0.000 3.325 W
7.429 0.000 1.216 W
```

=====

Relative energies, in meV/atom, with the most stable structure set to zero: arrangement a 207; arrangement b 0.